VASP calculation (PBE) on YPuTe2N after structural relaxation.

## Properties
The total magnetization is 0.774 μB/atom. As for the final energy: -83.11 eV/cell. The calculation puts the formation energy (no corrections) at -6.2 eV/f.u.

Cell lengths 4.0682, 4.0682, 15.9593 Å; angles 90.00, 90.00, 90.00 degrees
Site moments in Bohr magnetons follow the coordinates.
Sites, in units of the cell vectors:
1 Y 0.5000 0.0000 0.1389  0.01
2 Y 0.0000 0.5000 0.8611  0.01
3 Pu 0.5000 0.0000 0.5654  -4.36
4 Pu 0.0000 0.5000 0.4346  -4.36
5 Te 0.0000 0.5000 0.6793  0.14
6 Te 0.0000 0.5000 0.0815  0.00
7 Te 0.5000 0.0000 0.9185  0.00
8 Te 0.5000 0.0000 0.3207  0.14
9 N 0.0000 0.0000 0.5000  0.29
10 N 0.5000 0.5000 0.5000  0.29


VASP calculation (PBE) on PuZrTe2N after structural relaxation.

## Properties
The total magnetization is 0.748 μB/atom. As for the final energy: -85.33 eV/cell. The calculation puts the formation energy (no corrections) at -5.2 eV/f.u.

Cell lengths 3.9191, 3.9191, 14.3666 Å; angles 90.00, 90.00, 90.00 degrees
Site moments in Bohr magnetons follow the coordinates.
Sites, in units of the cell vectors:
1 Pu 0.5000 0.0000 0.5770  4.23
2 Pu 0.0000 0.5000 0.4230  4.23
3 Zr 0.5000 0.0000 0.0736  0.01
4 Zr 0.0000 0.5000 0.9264  0.01
5 Te 0.0000 0.5000 0.7025  -0.17
6 Te 0.0000 0.5000 0.1369  -0.01
7 Te 0.5000 0.0000 0.8631  -0.01
8 Te 0.5000 0.0000 0.2975  -0.17
9 N 0.0000 0.0000 0.5000  -0.28
10 N 0.5000 0.5000 0.5000  -0.28


VASP calculation (PBE) on Pu2ZrTe2N2 after structural relaxation.

## Properties
The total magnetization is 1.429 μB/atom. As for the final energy: -68.26 eV/cell. The calculation puts the formation energy (no corrections) at -8.1 eV/f.u.

Cell lengths 4.2782, 4.2782, 8.6036 Å; angles 104.40, 104.40, 90.00 degrees
Site moments in Bohr magnetons follow the coordinates.
Sites, in units of the cell vectors:
1 Pu 0.4008 0.4008 0.8017  5.13
2 Pu 0.5992 0.5992 0.1983  5.13
3 Zr 0.0000 0.0000 0.0000  0.12
4 Te 0.1832 0.1832 0.3663  -0.14
5 Te 0.8168 0.8168 0.6337  -0.14
6 N 0.0000 0.5000 0.0000  -0.15
7 N 0.5000 0.0000 0.0000  -0.15


VASP calculation (PBE) on Pu2ThN3 after structural relaxation.

## Properties
The total magnetization is 1.656 μB/atom. As for the final energy: -69.13 eV/cell. The calculation puts the formation energy (no corrections) at -8.1 eV/f.u.

Cell lengths 3.5659, 3.5659, 7.9485 Å; angles 102.96, 102.96, 90.00 degrees
Site moments in Bohr magnetons follow the coordinates.
Sites, in units of the cell vectors:
1 Pu 0.1043 0.1058 0.2141  4.89
2 Pu 0.7642 0.7656 0.5338  4.89
3 Th 0.4342 0.4358 0.8740  0.12
4 N 0.9341 0.9358 0.8739  -0.06
5 N 0.2630 0.2643 0.5314  -0.20
6 N 0.6056 0.6069 0.2165  -0.20


VASP calculation (PBE) on Pu2ThN after structural relaxation.

## Properties
The total magnetization is 0.000 μB/atom. As for the final energy: -43.95 eV/cell. The calculation puts the formation energy (no corrections) at 0.5 eV/f.u.

Cell lengths 3.9320, 3.9320, 6.7581 Å; angles 73.09, 73.09, 60.00 degrees
Sites, in units of the cell vectors:
1 N 0.0000 0.0000 0.0000
2 Th 0.5000 0.5000 0.5000
3 Pu 0.3092 0.3092 0.0723
4 Pu 0.6908 0.6908 0.9277


VASP calculation (PBE) on PuTh2N4 after structural relaxation.

## Properties
The total magnetization is 0.569 μB/atom. As for the final energy: -144.70 eV/cell. The calculation puts the formation energy (no corrections) at -9.9 eV/f.u.

Cell lengths 3.5741, 6.0219, 10.4636 Å; angles 90.00, 90.00, 90.00 degrees
Site moments in Bohr magnetons follow the coordinates.
Sites, in units of the cell vectors:
1 Pu 0.0000 0.0000 0.5000  4.20
2 Pu 0.0000 0.5000 0.0000  4.20
3 Th 0.5000 0.9474 0.8282  0.04
4 Th 0.5000 0.0526 0.1718  0.04
5 Th 0.5000 0.4474 0.6718  0.04
6 Th 0.5000 0.5526 0.3282  0.04
7 N 0.0000 0.6604 0.7982  -0.07
8 N 0.0000 0.3396 0.2018  -0.07
9 N 0.0000 0.1604 0.7018  -0.07
10 N 0.0000 0.8396 0.2982  -0.07
11 N 0.5000 0.7535 0.5310  -0.12
12 N 0.5000 0.2465 0.4690  -0.12
13 N 0.5000 0.7465 0.0310  -0.12
14 N 0.5000 0.2535 0.9690  -0.12


VASP calculation (PBE) on PuTh4N4 after structural relaxation.

## Properties
The total magnetization is 0.648 μB/atom. As for the final energy: -88.73 eV/cell. The calculation puts the formation energy (no corrections) at -11.4 eV/f.u.

Cell lengths 5.1608, 6.2648, 6.2642 Å; angles 80.26, 65.67, 65.68 degrees
Site moments in Bohr magnetons follow the coordinates.
Sites, in units of the cell vectors:
1 Pu 0.0000 0.0000 0.0000  5.12
2 Th 0.6034 0.5942 0.1989  0.07
3 Th 0.3966 0.4058 0.8011  0.07
4 Th 0.1977 0.1991 0.4056  0.07
5 Th 0.8023 0.8009 0.5944  0.07
6 N 0.9035 0.3999 0.7931  -0.03
7 N 0.0965 0.6001 0.2069  -0.03
8 N 0.3034 0.7932 0.5999  -0.03
9 N 0.6966 0.2068 0.4001  -0.03


VASP calculation (PBE) on Pu4ThN5 after structural relaxation.

## Properties
The total magnetization is 1.924 μB/atom. As for the final energy: -119.41 eV/cell. The calculation puts the formation energy (no corrections) at -13.0 eV/f.u.

Cell lengths 3.5258, 4.9971, 9.3220 Å; angles 105.55, 100.90, 90.00 degrees
Site moments in Bohr magnetons follow the coordinates.
Sites, in units of the cell vectors:
1 Pu 0.3984 0.3984 0.7967  -4.81
2 Pu 0.7983 0.7983 0.5966  -4.82
3 Pu 0.2017 0.2017 0.4034  -4.82
4 Pu 0.6016 0.6016 0.2033  -4.81
5 Th 0.0000 0.0000 0.0000  -0.12
6 N 0.6068 0.1068 0.2137  0.16
7 N 0.8019 0.3019 0.6038  0.24
8 N 0.1981 0.6981 0.3962  0.24
9 N 0.0000 0.5000 0.0000  0.15
10 N 0.3932 0.8932 0.7863  0.16


VASP calculation (PBE) on Pu2ThN4 after structural relaxation.

## Properties
The total magnetization is 1.142 μB/atom. As for the final energy: -156.90 eV/cell. The calculation puts the formation energy (no corrections) at -9.1 eV/f.u.

Cell lengths 3.4354, 5.9611, 10.7340 Å; angles 90.00, 90.00, 106.75 degrees
Site moments in Bohr magnetons follow the coordinates.
Sites, in units of the cell vectors:
1 Pu 0.1310 0.2619 0.4304  4.25
2 Pu 0.8690 0.7381 0.9304  4.25
3 Pu 0.1310 0.2619 0.0696  4.25
4 Pu 0.8690 0.7381 0.5696  4.25
5 Th 0.6130 0.2259 0.7500  0.08
6 Th 0.3870 0.7741 0.2500  0.08
7 N 0.7775 0.5550 0.1096  -0.20
8 N 0.7775 0.5550 0.3904  -0.20
9 N 0.2225 0.4450 0.8904  -0.20
10 N 0.2225 0.4450 0.6096  -0.20
11 N 0.9667 0.9334 0.7500  -0.15
12 N 0.0333 0.0666 0.2500  -0.15
13 N 0.5000 0.0000 0.0000  -0.21
14 N 0.5000 0.0000 0.5000  -0.21


VASP calculation (PBE) on PuTh3N6 after structural relaxation.

## Properties
The total magnetization is 0.200 μB/atom. As for the final energy: -201.39 eV/cell. The calculation puts the formation energy (no corrections) at -14.1 eV/f.u.

Cell lengths 7.0027, 7.0027, 7.0027 Å; angles 92.09, 92.09, 92.09 degrees
Site moments in Bohr magnetons follow the coordinates.
Sites, in units of the cell vectors:
1 Pu 0.0000 0.0000 0.0000  2.98
2 Pu 0.5000 0.5000 0.5000  2.42
3 Th 0.0613 0.5570 0.2522  -0.02
4 Th 0.2522 0.0613 0.5570  -0.02
5 Th 0.4430 0.7478 0.9387  -0.02
6 Th 0.5570 0.2522 0.0613  -0.02
7 Th 0.7478 0.9387 0.4430  -0.02
8 Th 0.9387 0.4430 0.7478  -0.02
9 N 0.0841 0.7000 0.9436  -0.09
10 N 0.0564 0.9159 0.3000  -0.09
11 N 0.2034 0.4076 0.5341  -0.08
12 N 0.3000 0.0564 0.9159  -0.09
13 N 0.4076 0.5341 0.2034  -0.08
14 N 0.4659 0.7966 0.5924  -0.08
15 N 0.5341 0.2034 0.4076  -0.08
16 N 0.5924 0.4659 0.7966  -0.08
17 N 0.7000 0.9436 0.0841  -0.09
18 N 0.7966 0.5924 0.4659  -0.08
19 N 0.9436 0.0841 0.7000  -0.09
20 N 0.9159 0.3000 0.0564  -0.09


VASP calculation (PBE) on Pu3ThN4 after structural relaxation.

## Properties
The total magnetization is 1.849 μB/atom. As for the final energy: -94.14 eV/cell. The calculation puts the formation energy (no corrections) at -10.4 eV/f.u.

Cell lengths 5.0180, 5.0180, 5.0180 Å; angles 90.00, 90.00, 90.00 degrees
Site moments in Bohr magnetons follow the coordinates.
Sites, in units of the cell vectors:
1 N 0.5000 0.0000 0.0000  -0.15
2 N 0.0000 0.5000 0.0000  -0.15
3 N 0.0000 0.0000 0.5000  -0.15
4 N 0.5000 0.5000 0.5000  -0.25
5 Th 0.0000 0.0000 0.0000  0.17
6 Pu 0.0000 0.5000 0.5000  4.88
7 Pu 0.5000 0.0000 0.5000  4.88
8 Pu 0.5000 0.5000 0.0000  4.88


VASP calculation (PBE) on Pu5ThN6 after structural relaxation.

## Properties
The total magnetization is 0.374 μB/atom. As for the final energy: -144.03 eV/cell. The calculation puts the formation energy (no corrections) at -15.0 eV/f.u.

Cell lengths 6.0969, 6.0969, 6.0498 Å; angles 99.68, 99.68, 119.97 degrees
Site moments in Bohr magnetons follow the coordinates.
Sites, in units of the cell vectors:
1 N 0.4278 0.0861 0.2579  0.05
2 N 0.9139 0.5722 0.7421  0.05
3 N 0.2575 0.2575 0.7453  0.04
4 N 0.7425 0.7425 0.2547  0.04
5 N 0.0861 0.4278 0.2579  0.05
6 N 0.5722 0.9139 0.7421  0.05
7 Th 0.0000 0.0000 0.0000  -0.01
8 Pu 0.8331 0.1669 0.5000  -4.58
9 Pu 0.6665 0.3335 0.0000  4.58
10 Pu 0.5000 0.5000 0.5000  -4.58
11 Pu 0.3335 0.6665 0.0000  4.58
12 Pu 0.1669 0.8331 0.5000  -4.58